1.
## SrPt3F (PBE)

Data for SrPt3F after structural relaxation.

The structure in POSCAR format:
```
SrPt3F
1.0
5.355 0.000 0.000
0.000 5.355 0.000
0.000 0.000 5.355
Pt F Sr
3 1 1
Direct
0.000 0.000 0.500
0.000 0.500 0.000
0.500 0.000 0.000
0.500 0.500 0.500
0.000 0.000 0.000
```

Values from the calculation:
Energy relative to the lowest polymorph listed for this composition   1.517 eV/atom

2.
## Er12Si3N5 (PBE)

Data for Er12Si3N5 after structural relaxation.

The structure in POSCAR format:
```
Er12Si3N5
1.0
13.013 0.000 0.000
-4.338 12.269 0.000
-4.338 -6.135 10.625
N Si Er
20 12 48
Direct
0.500 0.500 0.000
0.250 0.875 0.125
0.125 0.750 0.375
0.375 0.125 0.750
0.000 0.500 0.000
0.000 0.000 0.500
0.000 0.000 0.000
0.750 0.125 0.875
0.875 0.625 0.750
0.375 0.250 0.125
0.500 0.000 0.500
0.625 0.750 0.875
0.625 0.875 0.250
0.750 0.625 0.375
0.875 0.250 0.625
0.125 0.375 0.250
0.500 0.500 0.500
0.000 0.500 0.500
0.250 0.375 0.625
0.500 0.000 0.000
0.875 0.125 0.250
0.250 0.125 0.375
0.625 0.375 0.750
0.750 0.375 0.125
0.625 0.250 0.375
0.750 0.875 0.625
0.250 0.625 0.875
0.375 0.625 0.250
0.875 0.750 0.125
0.125 0.875 0.750
0.375 0.750 0.625
0.125 0.250 0.875
0.904 0.087 0.883
0.383 0.404 0.087
0.683 0.204 0.587
0.413 0.117 0.596
0.021 0.404 0.817
0.617 0.021 0.204
0.087 0.183 0.204
0.979 0.383 0.296
0.704 0.117 0.021
0.117 0.413 0.096
0.587 0.883 0.404
0.317 0.521 0.404
0.296 0.883 0.979
0.817 0.904 0.021
0.904 0.817 0.521
0.479 0.683 0.096
0.596 0.979 0.683
0.204 0.683 0.087
0.117 0.704 0.521
0.683 0.479 0.596
0.096 0.913 0.117
0.521 0.204 0.117
0.021 0.617 0.704
0.883 0.587 0.904
0.296 0.413 0.817
0.617 0.596 0.913
0.587 0.704 0.683
0.704 0.587 0.183
0.404 0.383 0.587
0.796 0.317 0.913
0.087 0.904 0.383
0.883 0.296 0.479
0.817 0.913 0.296
0.596 0.617 0.413
0.096 0.183 0.479
0.317 0.796 0.413
0.183 0.096 0.979
0.413 0.296 0.317
0.913 0.096 0.617
0.913 0.817 0.796
0.479 0.796 0.883
0.796 0.479 0.383
0.404 0.021 0.317
0.979 0.596 0.183
0.383 0.979 0.796
0.204 0.521 0.617
0.521 0.317 0.904
0.183 0.087 0.704
```

3.
## TiGeAu2 (PBE)

Data for TiGeAu2 after structural relaxation.

The structure in POSCAR format:
```
TiGeAu2
1.0
4.480 0.000 0.000
0.000 3.932 0.000
0.000 0.000 3.932
Ti Au Ge
1 2 1
Direct
0.500 0.000 0.000
0.000 0.000 0.500
0.000 0.500 0.000
0.500 0.500 0.500
```

Values from the calculation:
Formation energy   -23.4 kJ/mol of atoms

4.
## LaVH2 (PBE)

Data for LaVH2 after structural relaxation.

The structure in POSCAR format:
```
LaVH2
1.0
0.538 -4.161 1.028
-3.422 -2.626 0.238
-0.589 -3.058 -2.994
La H V
1 2 1
Direct
0.500 0.500 0.500
0.750 0.750 0.750
0.250 0.250 0.250
0.000 0.000 0.000
```

Values from the calculation:
Energy relative to the lowest polymorph listed for this composition   0.357 eV/atom

So what do the calculations give for uncorrected energy? Going down the list: -13.96, -132.33, -20.04, -19.48 eV per formula unit.
So what do the calculations give for magnetization? Going down the list: 0.805, 0.000, 0.000, 3.813 μB per formula unit.